No. 1
Li3AgBi4 | PBE | optimized geometry

a b c (Å): 3.4279 5.2850 10.6626
angles (deg): 90.00 90.00 90.00
Fractional positions:
Li (0.0000, 0.0000, 0.0000)
Li (0.0000, 0.5000, 0.2478)
Li (0.0000, 0.5000, 0.7522)
Ag (0.0000, 0.0000, 0.5000)
Bi (0.5000, 0.0000, 0.2531)
Bi (0.5000, 0.0000, 0.7469)
Bi (0.5000, 0.5000, 0.0000)
Bi (0.5000, 0.5000, 0.5000)

- Formation enthalpy at 0 K: -235 meV per atom



No. 2
GaB2Pd2Rh5 | PBE | optimized geometry

a b c (Å): 9.4503 9.4503 2.8929
angles (deg): 90.00 90.00 90.00
Fractional positions:
Ga (0.0000, 0.0000, 0.0000)
Ga (0.5000, 0.5000, 0.0000)
B (0.1289, 0.3711, 0.0000)
B (0.3711, 0.8711, 0.0000)
B (0.6289, 0.1289, 0.0000)
B (0.8711, 0.6289, 0.0000)
Pd (0.1807, 0.6807, 0.0000)
Pd (0.3193, 0.1807, 0.0000)
Pd (0.6807, 0.8193, 0.0000)
Pd (0.8193, 0.3193, 0.0000)
Rh (0.0000, 0.5000, 0.5000)
Rh (0.0638, 0.2167, 0.5000)
Rh (0.2167, 0.9362, 0.5000)
Rh (0.2833, 0.4362, 0.5000)
Rh (0.4362, 0.7167, 0.5000)
Rh (0.5000, 0.0000, 0.5000)
Rh (0.5638, 0.2833, 0.5000)
Rh (0.7167, 0.5638, 0.5000)
Rh (0.7833, 0.0638, 0.5000)
Rh (0.9362, 0.7833, 0.5000)

- Formation enthalpy at 0 K: -279 meV per atom



No. 3
Sc2TlTeF | PBE | optimized geometry

a b c (Å): 5.5253 5.5253 5.6140
angles (deg): 90.00 90.00 90.00
Fractional positions:
Sc (0.0000, 0.5000, 0.0000)
Sc (0.5000, 0.0000, 0.0000)
Tl (0.0000, 0.0000, 0.0000)
Te (0.0000, 0.0000, 0.5000)
F (0.5000, 0.5000, 0.5000)

- ΔE_f (raw): 198 meV/atom



No. 4
SrVZn3 | PBE | optimized geometry

a b c (Å): 4.9648 4.9648 4.9648
angles (deg): 90.00 90.00 90.00
Fractional positions:
Sr (0.0000, 0.0000, 0.0000)
V (0.5000, 0.5000, 0.5000)
Zn (0.0000, 0.5000, 0.5000)
Zn (0.5000, 0.0000, 0.5000)
Zn (0.5000, 0.5000, 0.0000)

- Formation enthalpy at 0 K: 245 meV per atom



No. 5
Ce2Ho4H | PBE | optimized geometry

a b c (Å): 9.1646 9.1646 9.1646
angles (deg): 149.66 149.66 43.44
Fractional positions:
Ce (0.1515, 0.1515, 0.0000)
Ce (0.8485, 0.8485, 0.0000)
Ho (0.0000, 0.5000, 0.5000)
Ho (0.3509, 0.3509, 0.0000)
Ho (0.5000, 0.0000, 0.5000)
Ho (0.6491, 0.6491, 0.0000)
H (0.5000, 0.5000, 0.0000)



No. 6
Ho8CSe3S4 | PBE | optimized geometry

a b c (Å): 7.8205 7.8205 7.8205
angles (deg): 60.65 60.65 60.65
Fractional positions:
Ho (0.2168, 0.7726, 0.7726)
Ho (0.2274, 0.2274, 0.7832)
Ho (0.2274, 0.7832, 0.2274)
Ho (0.2427, 0.2427, 0.2427)
Ho (0.7573, 0.7573, 0.7573)
Ho (0.7726, 0.2168, 0.7726)
Ho (0.7726, 0.7726, 0.2168)
Ho (0.7832, 0.2274, 0.2274)
C (0.0000, 0.0000, 0.0000)
Se (0.0000, 0.5000, 0.5000)
Se (0.5000, 0.0000, 0.5000)
Se (0.5000, 0.5000, 0.0000)
S (0.0000, 0.0000, 0.5000)
S (0.0000, 0.5000, 0.0000)
S (0.5000, 0.0000, 0.0000)
S (0.5000, 0.5000, 0.5000)

- ΔE_f (raw): -1724 meV/atom



| no. | raw total energy (eV per cell) |
| --- | --- |
| 1 | -25.998 |
| 2 | -132.620 |
| 3 | -19.052 |
| 4 | -13.399 |
| 5 | -32.339 |
| 6 | -100.399 |